# PBE ZrTlN2F, relaxed
# Formation energy from raw total energies = -3.359 eV per formula unit
# Symmetry = P4/mmm
# Energy above the lowest structure with this stoichiometry = 0.00 eV per formula unit
data_ZrTlN2F
_cell_length_a 4.311
_cell_length_b 4.311
_cell_length_c 4.312
_cell_angle_alpha 90.00
_cell_angle_beta 90.00
_cell_angle_gamma 90.00
_symmetry_space_group_name_H-M 'P 1'
_symmetry_Int_Tables_number 1
_symmetry_space_group_name_Hall 'P 1'
loop_
_atom_site_label
_atom_site_fract_x
_atom_site_fract_y
_atom_site_fract_z
_atom_site_occupancy
Zr1 0.000 0.000 0.000 1
Tl1 0.500 0.500 0.500 1
N1 0.000 0.500 0.000 1
N2 0.500 0.000 0.000 1
F1 0.000 0.000 0.500 1